No. 1
# Th12Ge3Bi5, optimized geometry, DFT GGA-PBE
data_Th12Ge3Bi5
_space_group_name_H-M_alt 'I a -3 d'
_space_group_IT_number 230
_space_group_name_Hall '-I 4bd 2c 3'
_cell_length_a 18.278
_cell_length_b 18.278
_cell_length_c 18.278
_cell_angle_alpha 90.00
_cell_angle_beta 90.00
_cell_angle_gamma 90.00
loop_
_atom_site_label
_atom_site_fract_x
_atom_site_fract_y
_atom_site_fract_z
Th1 0.017 0.088 0.648
Ge1 0.000 0.250 0.125
Bi1 0.000 0.000 0.000
Bi2 0.000 0.250 0.375
# D(E_F) (states/eV per atom): 1.47
# Energy of formation from the pure elements (eV/f.u.): 3.7

No. 2
# ThGe2Bi, optimized geometry, DFT GGA-PBE
data_ThGe2Bi
_space_group_name_H-M_alt 'R -3 m'
_space_group_IT_number 166
_space_group_name_Hall '-R 3 2"'
_cell_length_a 4.6740
_cell_length_b 4.6740
_cell_length_c 23.5544
_cell_angle_alpha 90.00
_cell_angle_beta 90.00
_cell_angle_gamma 120.00
loop_
_atom_site_label
_atom_site_fract_x
_atom_site_fract_y
_atom_site_fract_z
Th1 0.0000 0.0000 0.0000
Ge1 0.0000 0.0000 0.3868
Bi1 0.0000 0.0000 0.5000
# D(E_F) (states/eV per atom): 1.08
# Energy of formation from the pure elements (eV/f.u.): 1.4
# Energy above the most stable polymorph in this dataset (meV per atom): 712

No. 3
# Th3GeBi, optimized geometry, DFT GGA-PBE
data_Th3GeBi
_space_group_name_H-M_alt 'P -1'
_space_group_IT_number 2
_space_group_name_Hall '-P 1'
_cell_length_a 7.366
_cell_length_b 7.370
_cell_length_c 8.472
_cell_angle_alpha 64.27
_cell_angle_beta 64.32
_cell_angle_gamma 60.05
loop_
_atom_site_label
_atom_site_fract_x
_atom_site_fract_y
_atom_site_fract_z
Th1 0.084 0.393 0.285
Th2 0.262 0.915 0.715
Th3 0.393 0.737 0.285
Ge1 0.331 0.330 0.508
Bi1 0.170 0.169 0.991
# D(E_F) (states/eV per atom): 1.11
# Energy of formation from the pure elements (eV/f.u.): -1.3

No. 4
# Th4Ge2Bi, optimized geometry, DFT GGA-PBE
data_Th4Ge2Bi
_space_group_name_H-M_alt 'C m c m'
_space_group_IT_number 63
_space_group_name_Hall '-C 2c 2'
_cell_length_a 4.380
_cell_length_b 12.167
_cell_length_c 16.044
_cell_angle_alpha 90.00
_cell_angle_beta 90.00
_cell_angle_gamma 90.00
loop_
_atom_site_label
_atom_site_fract_x
_atom_site_fract_y
_atom_site_fract_z
Th1 0.000 0.000 0.000
Th2 0.000 0.299 0.113
Th3 0.000 0.392 0.750
Ge1 0.000 0.359 0.569
Bi1 0.000 0.098 0.750
# D(E_F) (states/eV per atom): 0.69
# Energy of formation from the pure elements (eV/f.u.): -3.7